1.
Density functional theory data (PBE) for a relaxed NpAsRh crystal.

Cell lengths 6.847, 4.249, 11.564 Å; angles 90.00, 90.18, 90.00 degrees
Space group P2_1/m (No. 11)
Unique sites:
Np (0.005, 0.250, 0.375) x2
Np (0.163, 0.250, 0.066) x2
Np (0.487, 0.250, 0.306) x2
As (0.206, 0.750, 0.240) x2
As (0.273, 0.750, 0.898) x2
As (0.291, 0.250, 0.576) x2
Rh (0.160, 0.250, 0.789) x2
Rh (0.306, 0.750, 0.454) x2
Rh (0.478, 0.750, 0.088) x2

Properties
- uncorrected energy (eV/atom) = -8.936
- N(E_F) (states/eV per cell) = 40.2
- ΔH_f (0 K) (meV/atom) = -622

2.
Density functional theory data (PBE) for a relaxed Tm12OsRu6 crystal.

Cell lengths 12.2383, 12.2383, 11.1035 Å; angles 90.00, 90.00, 120.00 degrees
Space group R-3 (No. 148, hexagonal axes)
Unique sites:
Tm (0.0305, 0.2077, 0.3859) x18
Tm (0.0378, 0.2063, 0.8815) x18
Os (0.0000, 0.0000, 0.0000) x3
Ru (0.0459, 0.2632, 0.6442) x18

Properties
- uncorrected energy (eV/atom) = -6.521
- N(E_F) (states/eV per cell) = 32.5
- ΔH_f (0 K) (meV/atom) = -177

3.
Density functional theory data (PBE) for a relaxed ErTcBi2O8 crystal.

Cell lengths 5.172, 6.694, 5.173 Å; angles 90.00, 90.73, 90.00 degrees
Space group P2/m (No. 10)
Unique sites:
Er (0.000, 0.000, 0.000) x1
Tc (0.000, 0.500, 0.000) x1
Bi (0.500, 0.251, 0.500) x2
O (0.181, 0.280, 0.178) x4
O (0.249, 0.500, 0.747) x2
O (0.304, 0.000, 0.693) x2

Properties
- E_form (uncorrected) (eV/atom) = -1.673
- uncorrected energy (eV/atom) = -6.869
- N(E_F) (states/eV per cell) = 1.3

4.
Density functional theory data (PBE) for a relaxed Pr2CdSi3Pt12 crystal.

Cell lengths 8.3561, 8.3561, 17.9727 Å; angles 90.00, 90.00, 120.00 degrees
Space group R-3m (No. 166, hexagonal axes)
Unique sites:
Pr (0.0000, 0.0000, 0.1064) x6
Cd (0.0000, 0.0000, 0.5000) x3
Si (0.0000, 0.5000, 0.0000) x9
Pt (0.0165, 0.5083, 0.8708) x18
Pt (0.0333, 0.5166, 0.3671) x18

Properties
- E_form (uncorrected) (eV/atom) = -0.443
- uncorrected energy (eV/atom) = -5.956
- N(E_F) (states/eV per cell) = 22.6

5.
Density functional theory data (PBE) for a relaxed RbZr2NbO crystal.

Cell lengths 4.909, 4.909, 4.208 Å; angles 90.00, 90.00, 90.00 degrees
Space group P4/mmm (No. 123)
Unique sites:
Rb (0.000, 0.000, 0.000) x1
Zr (0.000, 0.500, 0.500) x2
Nb (0.500, 0.500, 0.000) x1
O (0.500, 0.500, 0.500) x1

Properties
- E_form (uncorrected) (eV/atom) = 0.082
- uncorrected energy (eV/atom) = -6.536
- N(E_F) (states/eV per cell) = 3.8

6.
Density functional theory data (PBE) for a relaxed Pr2SnRh crystal.

Cell lengths 6.394, 4.167, 8.788 Å; angles 90.00, 109.45, 90.00 degrees
Space group P2_1/m (No. 11)
Unique sites:
Pr (0.174, 0.250, 0.397) x2
Pr (0.264, 0.750, 0.049) x2
Sn (0.370, 0.750, 0.704) x2
Rh (0.125, 0.250, 0.797) x2

Properties
- uncorrected energy (eV/atom) = -5.927
- N(E_F) (states/eV per cell) = 6.1
- ΔH_f (0 K) (meV/atom) = -699

7.
Density functional theory data (PBE) for a relaxed Sc3InO crystal.

Cell lengths 10.696, 6.414, 7.731 Å; angles 90.00, 133.25, 90.00 degrees
Space group Cm (No. 8)
Unique sites:
Sc (0.000, 0.000, 0.000) x2
Sc (0.069, 0.500, 0.662) x2
Sc (0.233, 0.246, 0.485) x4
Sc (0.323, 0.255, 0.170) x4
In (0.072, 0.000, 0.658) x2
In (0.499, 0.000, 0.005) x2
O (0.264, 0.500, 0.669) x2
O (0.279, 0.000, 0.331) x2

Properties
- E_form (uncorrected) (eV/atom) = -1.383
- uncorrected energy (eV/atom) = -6.721
- N(E_F) (states/eV per cell) = 18.9

8.
Density functional theory data (PBE) for a relaxed As2WCl crystal.

Cell lengths 4.199, 4.199, 7.687 Å; angles 90.00, 90.00, 90.00 degrees
Space group I4/mmm (No. 139)
Unique sites:
As (0.000, 0.500, 0.250) x4
W (0.000, 0.000, 0.000) x2
Cl (0.000, 0.000, 0.500) x2

Properties
- E_form (uncorrected) (eV/atom) = 0.681
- uncorrected energy (eV/atom) = -5.344
- N(E_F) (states/eV per cell) = 5.3

9.
Density functional theory data (PBE) for a relaxed NpMnV2 crystal.

Cell lengths 4.442, 4.442, 2.950 Å; angles 90.00, 90.00, 90.00 degrees
Space group P4/mmm (No. 123)
Unique sites:
Np (0.000, 0.000, 0.000) x1
Mn (0.500, 0.500, 0.000) x1
V (0.000, 0.500, 0.500) x2

Properties
- uncorrected energy (eV/atom) = -9.795
- N(E_F) (states/eV per cell) = 7.7
- ΔH_f (0 K) (meV/atom) = 292

10.
Density functional theory data (PBE) for a relaxed LaAlTl2 crystal.

Cell lengths 3.840, 3.887, 7.400 Å; angles 90.00, 90.00, 90.00 degrees
Space group Pmm2 (No. 25)
Unique sites:
La (0.000, 0.000, 0.000) x1
Al (0.500, 0.500, 0.739) x1
Tl (0.000, 0.000, 0.540) x1
Tl (0.500, 0.500, 0.294) x1

Properties
- uncorrected energy (eV/atom) = -3.470
- N(E_F) (states/eV per cell) = 3.2
- ΔH_f (0 K) (meV/atom) = -119